The following is a PBE calculation of crystalline KCrCl at its relaxed geometry, from Alexandria via LeMat-Bulk. Values from VASP.

Relative energy among the computed polymorphs = 0.0000 eV per atom
Crystal system = trigonal

Quantum ESPRESSO input file:
```
&SYSTEM
  ibrav = 0, nat = 3, ntyp = 3
/
ATOMIC_SPECIES
Cr 52.00 Cr.upf
K 39.10 K.upf
Cl 35.45 Cl.upf
CELL_PARAMETERS angstrom
3.845 0.000 0.000
-1.923 3.330 0.000
0.000 0.000 6.875
ATOMIC_POSITIONS angstrom
Cr 1.923 1.110 1.843
K 0.000 2.220 4.862
Cl 0.000 0.000 0.170
```